# 1
First-principles (PBE-GGA) data for crystalline PmZrGaO6 at its relaxed geometry, as listed in Alexandria via LeMat-Bulk.

The structure in extended XYZ format:
```
9
Lattice="4.592 0.000 0.000 0.000 5.511 0.000 0.000 -2.755 4.773" Properties=species:S:1:pos:R:3 pbc="T T T"
Pm 2.296 2.755 1.591
Zr 0.000 0.000 3.182
Ga 2.296 0.000 0.000
O 3.392 1.749 3.411
O 3.392 -1.073 4.582
O 3.392 -0.676 1.552
O 1.200 0.676 1.552
O 1.200 1.073 4.582
O 1.200 -1.749 3.411
```

Output
Formation energy from raw total energies (eV/atom): -2.22

***

# 2
First-principles (PBE-GGA) data for crystalline PrGa2O4 at its relaxed geometry, as listed in Alexandria via LeMat-Bulk.

The structure in extended XYZ format:
```
14
Lattice="-4.370 -3.728 -2.937 0.161 -6.247 2.927 -5.092 -0.807 2.116" Properties=species:S:1:pos:R:3 pbc="T T T"
Pr -5.804 -6.144 -0.493
Pr -4.972 -7.323 4.502
Ga -3.058 -6.032 1.602
Ga -4.685 -4.372 2.098
Ga -7.110 -8.729 1.635
Ga -3.100 -3.048 -0.533
O -3.558 -2.965 1.508
O -7.395 -4.061 -0.321
O -1.882 -5.120 2.935
O -4.335 -4.381 -1.047
O -8.942 -8.473 1.088
O -3.703 -7.590 2.366
O -1.249 -2.642 0.071
O -6.686 -7.198 2.589
```

Output
Formation energy from raw total energies (eV/atom): -2.22
ΔE to the lowest computed polymorph (meV/atom): 0

***

# 3
First-principles (PBE-GGA) data for crystalline Pr6Ga2O at its relaxed geometry, as listed in Alexandria via LeMat-Bulk.

The structure in extended XYZ format:
```
18
Lattice="-2.659 3.096 -5.157 -2.981 -7.212 -2.793 -7.566 1.027 5.423" Properties=species:S:1:pos:R:3 pbc="T T T"
Pr -6.986 -3.960 -5.953
Pr -8.673 -1.889 -3.452
Pr -11.315 -1.132 -0.964
Pr -6.401 1.562 -0.866
Pr -9.436 1.366 1.254
Pr -5.023 -1.136 -3.042
Pr -6.219 0.871 3.426
Pr -4.532 -1.200 0.925
Pr -1.891 -1.957 -1.563
Pr -6.805 -4.651 -1.662
Pr -3.770 -4.456 -3.781
Pr -8.183 -1.953 0.515
Ga -9.199 0.861 -1.923
Ga -9.935 -3.864 -1.236
Ga -3.270 0.774 -1.291
Ga -4.007 -3.950 -0.605
O -2.820 -2.058 -3.975
O -3.783 0.513 2.711
```

Output
Formation energy from raw total energies (eV/atom): -0.82

***

# 4
First-principles (PBE-GGA) data for crystalline Pr12Ga3O5 at its relaxed geometry, as listed in Alexandria via LeMat-Bulk.

The structure in extended XYZ format:
```
80
Lattice="-11.264 3.270 -7.489 6.217 -11.125 -5.589 -3.799 -2.888 13.072" Properties=species:S:1:pos:R:3 pbc="T T T"
Ga -6.591 -2.081 -6.079
Ga -5.668 -5.844 -9.111
Ga -1.935 -8.922 1.170
Ga -3.463 -1.656 2.331
Ga -10.029 0.748 -3.983
Ga -1.288 -6.449 -3.033
Ga -7.558 -4.294 3.028
Ga 1.183 -11.491 3.978
Ga -5.382 -9.087 -2.337
Ga -6.910 -1.821 -1.176
Ga -3.178 -4.899 9.105
Ga -2.254 -8.662 6.073
O -0.026 -4.485 0.236
O 3.109 -5.562 -2.794
O 0.000 0.000 0.000
O -3.145 -1.916 -2.572
O -7.531 0.191 2.792
O -2.523 -3.928 -6.539
O 1.830 -9.018 -0.226
O -10.995 -1.465 5.123
O -5.987 -5.584 -4.208
O -6.296 -2.330 6.297
O -2.550 -8.413 -6.303
O -4.423 -5.372 -0.003
O -5.632 1.635 -3.745
O -1.899 -1.444 6.536
O -2.859 -5.159 4.202
O 2.149 -9.278 -5.128
O 1.209 -7.006 3.742
O -10.676 -1.725 0.220
O -5.701 -8.827 2.566
O -8.819 -6.258 -0.242
Pr -7.271 0.995 -5.666
Pr -1.869 -5.887 0.039
Pr -9.798 -1.957 -5.633
Pr -4.993 -0.881 -3.528
Pr -4.878 -7.860 0.620
Pr -8.075 -3.947 -8.273
Pr -0.144 -9.035 -1.451
Pr 4.156 -10.142 -4.336
Pr -3.200 -10.969 -1.000
Pr -4.945 -4.797 -6.130
Pr -7.457 -3.886 -3.612
Pr -3.620 -7.444 -10.937
Pr 1.134 -8.933 1.990
Pr -2.191 -3.489 -3.993
Pr 3.143 -10.887 -0.658
Pr -6.188 -1.629 4.084
Pr -0.623 -2.350 0.935
Pr -1.547 -6.319 -6.197
Pr -4.650 -8.327 -7.294
Pr 0.922 -4.476 -1.885
Pr -1.284 -11.976 2.036
Pr -4.462 -6.051 -2.517
Pr -7.083 -7.601 -4.571
Pr -10.491 -3.523 4.167
Pr -4.383 -4.692 2.512
Pr -1.763 -3.142 4.566
Pr 1.646 -7.220 -4.172
Pr -4.196 -2.416 7.289
Pr -7.562 1.233 -2.041
Pr -9.768 -6.267 1.880
Pr -7.298 -4.424 6.191
Pr -2.657 -9.114 -4.090
Pr -8.222 -8.393 -0.940
Pr -11.988 0.144 0.652
Pr -9.980 -1.810 -1.996
Pr -5.226 -3.299 10.932
Pr -6.654 -7.254 3.987
Pr -5.646 0.226 0.995
Pr -3.901 -5.946 6.125
Pr -1.388 -6.857 3.606
Pr -13.001 -0.601 4.330
Pr -8.701 -1.708 1.446
Pr -3.853 -9.862 3.523
Pr -0.770 -6.796 8.267
Pr -3.967 -2.883 -0.625
Pr 0.953 -8.786 5.627
Pr -6.976 -4.856 -0.045
Pr -1.575 -11.738 5.661
```

Output
Formation energy from raw total energies (eV/atom): -1.50

***

# 5
First-principles (PBE-GGA) data for crystalline PrGa2O4 at its relaxed geometry, as listed in Alexandria via LeMat-Bulk.

The structure in extended XYZ format:
```
14
Lattice="7.545 0.000 0.000 3.773 5.453 0.236 3.773 1.998 5.079" Properties=species:S:1:pos:R:3 pbc="T T T"
Pr 1.886 2.726 0.118
Pr 5.659 2.726 0.118
Ga 3.773 1.930 3.204
Ga 3.773 0.000 0.000
Ga 7.545 3.725 2.657
Ga 11.318 5.520 2.111
O 3.773 1.835 1.318
O 7.545 5.568 3.963
O 6.215 2.842 3.854
O 8.876 2.842 3.854
O 6.215 4.609 1.461
O 7.545 1.882 1.352
O 8.876 4.609 1.461
O 11.318 5.616 3.997
```

Output
Formation energy from raw total energies (eV/atom): -2.00
ΔE to the lowest computed polymorph (meV/atom): 220

***

# 6
First-principles (PBE-GGA) data for crystalline Pr3GaO6 at its relaxed geometry, as listed in Alexandria via LeMat-Bulk.

The structure in extended XYZ format:
```
20
Lattice="-6.842 -1.794 2.531 4.445 -1.863 5.762 -0.578 5.212 2.131" Properties=species:S:1:pos:R:3 pbc="T T T"
Pr 0.471 1.751 2.953
Pr -2.231 4.372 3.328
Pr -2.621 0.418 4.726
Pr -0.561 3.009 6.464
Pr -1.001 -0.495 8.046
Pr -3.703 2.126 8.421
Ga -4.681 -1.765 3.168
Ga 1.986 0.799 6.225
O -0.792 -0.185 3.301
O -1.366 2.422 4.286
O -3.633 -0.346 2.471
O 1.482 2.227 5.084
O -6.436 -1.074 2.966
O -4.813 1.744 4.678
O 3.590 1.468 6.984
O 1.918 -0.901 5.456
O -4.368 -1.468 5.015
O 0.747 1.105 7.628
O -1.555 -1.350 5.942
O -2.129 1.258 6.926
```

Output
Formation energy from raw total energies (eV/atom): -3.00

***

Quick rundown of DOS(E_F), same order as above: 4.38; 0.00; 9.86; 18.91; 1.91; 0.00 states/eV/f.u.
Quick rundown of VASP energy, same order as above: -66.05; -92.43; -94.13; -484.81; -89.35; -154.26 eV per cell